Record 1
VASP calculation (PBE) on La2Sc2Ir after structural relaxation.

Output
**Energy of formation**: -0.259 eV per atom
**Crystal system**: tetragonal

Lattice parameters (Å, degrees): 6.8827 6.8827 5.6329 90.00 90.00 90.00
With the nearest neighbours (Å) after each atom.
Atoms (fractional coordinates):
Ir 0.5000 0.5000 0.0000  4 Sc 2.59
Sc 0.6601 0.1601 0.0000  2 Ir 2.59
Sc 0.1601 0.3399 0.0000  2 Ir 2.59
La 0.1696 0.6696 0.5000  6 Sc 3.27-3.62, 5 La 3.30-3.62
Ir 0.0000 0.0000 0.0000  4 Sc 2.59
La 0.8304 0.3304 0.5000  6 Sc 3.27-3.62, 5 La 3.30-3.62
Sc 0.8399 0.6601 0.0000  2 Ir 2.59
La 0.3304 0.1696 0.5000  6 Sc 3.27-3.62, 5 La 3.30-3.62
Sc 0.3399 0.8399 0.0000  2 Ir 2.59
La 0.6696 0.8304 0.5000  6 Sc 3.27-3.62, 5 La 3.30-3.62

Record 2
VASP calculation (PBE) on LaScIr after structural relaxation.

Output
**Energy above the lowest structure with this stoichiometry**: 167 meV per atom
**Energy of formation**: -0.542 eV per atom
**Crystal system**: cubic

Lattice parameters (Å, degrees): 4.7914 4.7914 4.7914 60.00 60.00 60.00
With the nearest neighbours (Å) after each atom.
Atoms (fractional coordinates):
Sc 0.5000 0.5000 0.5000  4 Ir 2.93
Ir 0.7500 0.7500 0.7500  4 Sc 2.93, 4 La 2.93
La 0.0000 0.0000 0.0000  4 Ir 2.93

Record 3
VASP calculation (PBE) on LaSc2Ir2 after structural relaxation.

Output
**Energy above the lowest structure with this stoichiometry**: 390 meV per atom
**Energy of formation**: -0.426 eV per atom
**Crystal system**: tetragonal

Lattice parameters (Å, degrees): 4.8491 4.8491 6.0585 66.41 66.41 90.00
With the nearest neighbours (Å) after each atom.
Atoms (fractional coordinates):
Ir 0.7500 0.2500 0.5000  4 Sc 2.60
Sc 0.3440 0.3440 0.3120  4 Ir 2.60
Ir 0.2500 0.7500 0.5000  4 Sc 2.60
Sc 0.6560 0.6560 0.6880  4 Ir 2.60
La 0.0000 0.0000 0.0000  10 Sc 3.44-3.77, 8 Ir 3.48

Record 4
VASP calculation (PBE) on LaScIr after structural relaxation.

Output
**Energy above the lowest structure with this stoichiometry**: 207 meV per atom
**Energy of formation**: -0.501 eV per atom
**Crystal system**: trigonal

Lattice parameters (Å, degrees): 4.1371 4.1371 5.7403 90.00 90.00 120.00
With the nearest neighbours (Å) after each atom.
Atoms (fractional coordinates):
La 0.6667 0.3333 0.2508  3 Ir 2.88
Ir 0.0000 0.0000 0.9698  3 Sc 2.63, 3 La 2.88
Sc 0.3333 0.6667 0.7794  3 Ir 2.63

> What is the energy of formation in the second record?

-0.542 eV per atom

> The highest energy of formation belongs to which entry?

La2Sc2Ir